Record 1
A plane-wave DFT calculation with PBE was carried out for a relaxed ScMnRe crystal.

As for the energy relative to the lowest polymorph listed for this composition: 1570 meV per atom. As for the space group: F-43m, No. 216. The value obtained for the formation energy is 1.33 eV/atom. The value obtained for the density of states at the Fermi level is 2.300 states/eV per atom.

Cell: 4.3483 4.3483 4.3483 Å, 60.00 60.00 60.00°
Site moments in Bohr magnetons follow the coordinates.
Atoms (fractional coordinates):
Mn 0.0000 0.0000 0.0000  3.41
Re 0.5000 0.5000 0.5000  -0.03
Sc 0.7500 0.7500 0.7500  -0.02

---

Record 2
A plane-wave DFT calculation with PBE was carried out for a relaxed BaNbTl2Cl8 crystal.

As for the space group: P-1, No. 2. The calculation puts the energy relative to the elements, uncorrected at -1462 meV per atom. The value obtained for the density of states at the Fermi level is 0.214 states/eV per atom.

Cell: 6.6932 7.3439 8.7778 Å, 89.84 90.13 91.70°
Site moments in Bohr magnetons follow the coordinates.
Atoms (fractional coordinates):
Ba 0.0000 0.0000 0.5000  0.01
Nb 0.0000 0.0000 0.0000  0.84
Tl 0.4997 0.4986 0.7586  0.00
Tl 0.5003 0.5014 0.2414  0.00
Cl 0.1247 0.7930 0.2018  0.01
Cl 0.6908 0.8347 0.9983  -0.02
Cl 0.8727 0.2055 0.2005  0.01
Cl 0.8753 0.2070 0.7982  0.01
Cl 0.3092 0.1653 0.0017  -0.02
Cl 0.1273 0.7945 0.7995  0.01
Cl 0.6371 0.7375 0.5005  0.00
Cl 0.3629 0.2625 0.4995  0.00

---

Record 3
A plane-wave DFT calculation with PBE was carried out for a relaxed ReWSe2 crystal.

As for the energy relative to the lowest polymorph listed for this composition: 957 meV per atom. As for the space group: Pmmm, No. 47. The calculation puts the energy relative to the elements, uncorrected at 964 meV per atom. The value obtained for the density of states at the Fermi level is 1.131 states/eV per atom.

Cell: 3.0139 5.5035 4.1371 Å, 90.00 90.00 90.00°
Atoms (fractional coordinates):
Re 0.0000 0.5000 0.5000
Se 0.0000 0.0000 0.0000
Se 0.5000 0.5000 0.0000
W 0.5000 0.0000 0.5000

---

Record 4
A plane-wave DFT calculation with PBE was carried out for a relaxed ZrBe2P crystal.

As for the space group: Pmm2, No. 25. The value obtained for the formation energy is -0.31 eV/atom. The value obtained for the density of states at the Fermi level is 0.485 states/eV per atom.

Cell: 3.6012 3.4445 4.4877 Å, 89.99 90.00 90.00°
Atoms (fractional coordinates):
P 0.0000 0.2502 0.5101
Zr 0.5000 0.7500 0.7433
Be 0.0000 0.2497 0.0005
Be 0.5000 0.2501 0.2460

---

Record 5
A plane-wave DFT calculation with PBE was carried out for a relaxed AlCd2Tc crystal.

As for the space group: Cmmm, No. 65. The value obtained for the formation energy is 0.40 eV/atom. The value obtained for the density of states at the Fermi level is 0.613 states/eV per atom.

Cell: 2.8028 2.8028 10.5119 Å, 90.00 90.00 114.04°
Atoms (fractional coordinates):
Al 0.5000 0.5000 0.7500
Tc 0.5000 0.5000 0.2500
Cd 0.0000 0.0000 0.0184
Cd 0.0000 0.0000 0.4816

---

Record 6
A plane-wave DFT calculation with PBE was carried out for a relaxed TaAgTeN2 crystal.

As for the energy relative to the lowest polymorph listed for this composition: 1900 meV per atom. As for the space group: P4/mmm, No. 123. The calculation puts the energy relative to the elements, uncorrected at 2154 meV per atom. The value obtained for the density of states at the Fermi level is 1.085 states/eV per atom.

Cell: 4.0962 4.0962 5.2519 Å, 90.00 90.00 90.00°
Atoms (fractional coordinates):
N 0.0000 0.5000 0.0000
N 0.5000 0.0000 0.0000
Te 0.0000 0.0000 0.5000
Ag 0.0000 0.0000 0.0000
Ta 0.5000 0.5000 0.5000

---

Record 7
A plane-wave DFT calculation with PBE was carried out for a relaxed LiCrCl2 crystal.

As for the energy relative to the lowest polymorph listed for this composition: 0 meV per atom. As for the space group: P1, No. 1. The calculation puts the energy relative to the elements, uncorrected at -1030 meV per atom.

Cell: 3.6610 6.3341 7.7149 Å, 96.61 98.92 102.60°
Site moments in Bohr magnetons follow the coordinates.
Atoms (fractional coordinates):
Li 0.7692 0.7845 0.6359  0.00
Li 0.2568 0.4356 0.9241  0.00
Cr 0.8636 0.1800 0.3742  -3.45
Cr 0.2158 0.9195 0.2493  3.48
Cl 0.8545 0.6785 0.9336  0.01
Cl 0.5210 0.1864 0.0929  -0.01
Cl 0.1512 0.6416 0.4397  -0.03
Cl 0.0201 0.1631 0.6730  0.01

---

Record 8
A plane-wave DFT calculation with PBE was carried out for a relaxed GdPuCdIn crystal.

As for the space group: F-43m, No. 216. The value obtained for the formation energy is -0.19 eV/atom. The value obtained for the density of states at the Fermi level is 2.301 states/eV per atom.

Cell: 5.3782 5.3782 5.3782 Å, 60.00 60.00 60.00°
Site moments in Bohr magnetons follow the coordinates.
Atoms (fractional coordinates):
Cd 0.7500 0.7500 0.7500  0.04
Gd 0.0000 0.0000 0.0000  -6.88
In 0.2500 0.2500 0.2500  -0.02
Pu 0.5000 0.5000 0.5000  5.52

---

Record 9
A plane-wave DFT calculation with PBE was carried out for a relaxed YHf2Zr crystal.

As for the energy relative to the lowest polymorph listed for this composition: 32 meV per atom. As for the space group: P4/mmm, No. 123. The value obtained for the formation energy is 0.16 eV/atom. The value obtained for the density of states at the Fermi level is 1.163 states/eV per atom.

Cell: 3.7619 3.7619 7.0060 Å, 90.00 90.00 90.00°
Atoms (fractional coordinates):
Y 0.5000 0.5000 0.5000
Hf 0.0000 0.0000 0.7892
Hf 0.0000 0.0000 0.2108
Zr 0.5000 0.5000 0.0000

---

Record 10
A plane-wave DFT calculation with PBE was carried out for a relaxed Hf2BS crystal.

As for the energy relative to the lowest polymorph listed for this composition: 0 meV per atom. As for the space group: R-3m, No. 166. The calculation puts the energy relative to the elements, uncorrected at -1154 meV per atom. The value obtained for the density of states at the Fermi level is 0.356 states/eV per atom.

Cell: 3.4987 3.4987 6.3475 Å, 74.00 74.00 60.00°
Atoms (fractional coordinates):
S 0.5000 0.5000 0.5000
B 0.0000 0.0000 0.0000
Hf 0.2640 0.2640 0.2081
Hf 0.7360 0.7360 0.7919

---

Record 11
A plane-wave DFT calculation with PBE was carried out for a relaxed NaDySb2 crystal.

As for the energy relative to the lowest polymorph listed for this composition: 154 meV per atom. As for the space group: R-3m, No. 166. The calculation puts the energy relative to the elements, uncorrected at -438 meV per atom. The value obtained for the density of states at the Fermi level is 0.595 states/eV per atom.

Cell: 4.3849 4.3849 8.0524 Å, 74.20 74.20 60.00°
Atoms (fractional coordinates):
Sb 0.2426 0.2426 0.2722
Sb 0.7574 0.7574 0.7278
Na 0.0000 0.0000 0.0000
Dy 0.5000 0.5000 0.5000

---

Record 12
A plane-wave DFT calculation with PBE was carried out for a relaxed Si7P crystal.

As for the space group: Fm-3m, No. 225. The calculation puts the energy relative to the elements, uncorrected at 572 meV per atom. The value obtained for the density of states at the Fermi level is 0.652 states/eV per atom.

Cell: 5.4844 5.4844 5.4844 Å, 60.00 60.00 60.00°
Atoms (fractional coordinates):
Si 0.5000 0.5000 0.0000
Si 0.5000 0.0000 0.5000
Si 0.5000 0.0000 0.0000
Si 0.0000 0.0000 0.5000
Si 0.0000 0.5000 0.0000
Si 0.0000 0.5000 0.5000
Si 0.5000 0.5000 0.5000
P 0.0000 0.0000 0.0000

---

Record 13
A plane-wave DFT calculation with PBE was carried out for a relaxed ZnCuBr3 crystal.

As for the energy relative to the lowest polymorph listed for this composition: 0 meV per atom. As for the space group: C2/m, No. 12. The calculation puts the energy relative to the elements, uncorrected at -597 meV per atom.

Cell: 3.9850 7.0950 11.8098 Å, 96.83 90.00 106.31°
Atoms (fractional coordinates):
Zn 0.9141 0.8282 0.7199
Zn 0.0859 0.1718 0.2801
Cu 0.6854 0.3708 0.8128
Cu 0.3146 0.6292 0.1872
Br 0.3682 0.7365 0.6016
Br 0.6318 0.2635 0.3984
Br 0.8495 0.6989 0.9004
Br 0.1505 0.3011 0.0996
Br 0.0998 0.1996 0.7451
Br 0.9002 0.8004 0.2549

---

| no. | final energy (eV/atom) | mass density (g/cm3) |
| --- | --- | --- |
| 1 | -7.99 | 8.17 |
| 2 | -4.09 | 3.55 |
| 3 | -7.13 | 12.78 |
| 4 | -5.67 | 4.18 |
| 5 | -3.58 | 7.70 |
| 6 | -4.75 | 8.37 |
| 7 | -4.84 | 2.53 |
| 8 | -8.21 | 9.49 |
| 9 | -8.57 | 9.00 |
| 10 | -8.83 | 10.41 |
| 11 | -3.98 | 5.60 |
| 12 | -4.85 | 3.24 |
| 13 | -2.67 | 3.85 |